## RbCr2OsO8 (PBE+U)

Data for a relaxed RbCr2OsO8 crystal.

Output
E in hartree per atom: -0.25017

Lattice parameters (Å, degrees): 8.3104 5.9498 7.1924 90.00 107.71 90.00
Last column: nearest neighbours and their distance in Å.
Space group C2/m (No. 12)
Inequivalent atoms, fractional coordinates:
Rb1 0.0000 0.0000 0.0000  4 O 2.65
Cr1 0.0487 0.5000 0.2167  4 O 1.79-2.00
Os1 0.0000 0.0000 0.5000  6 O 1.81-1.94
O1 0.0109 0.2345 0.6905  1 Cr 1.84, 1 Os 1.94
O2 0.1481 0.5000 0.0280  1 Cr 1.79
O3 0.2291 0.0000 0.5722  1 Os 1.81, 1 Cr 2.00